Entry 1:
## BaNd2Ir (PBE)

Data for an optimized crystal structure of BaNd2Ir.

Output
- ρ: 7.47 g cm⁻³
- E above lowest polymorph: 0.127 eV per atom
- Space-group type: P4/mmm
- Size of the total moment: 0.00 μB/f.u.

abc: 3.667 3.667 10.215
angles: 90.00 90.00 90.00
Positions (direct):
1 Ir 0.500 0.500 0.000
2 Nd 0.000 0.000 0.841
3 Nd 0.000 0.000 0.159
4 Ba 0.500 0.500 0.500

=====

Entry 2:
## TbGaCl (PBE)

Data for an optimized crystal structure of TbGaCl.

Output
- ρ: 5.57 g cm⁻³
- Energy relative to the elements, uncorrected: -1.372 eV per atom
- Space-group type: R-3m
- Size of the total moment: 0.00 μB/f.u.

abc: 4.101 4.101 11.074
angles: 90.03 100.65 120.00
Positions (direct):
1 Tb 0.872 0.436 0.308
2 Ga 0.688 0.844 0.532
3 Cl 0.558 0.279 0.837
4 Cl 0.442 0.721 0.163
5 Ga 0.312 0.156 0.468
6 Tb 0.128 0.564 0.692

=====

Entry 3:
## HoCdAgHg (PBE)

Data for an optimized crystal structure of HoCdAgHg.

Output
- ρ: 11.07 g cm⁻³
- Space-group type: F-43m
- Final energy: -2.497 eV/atom
- Size of the total moment: 0.00 μB/f.u.

abc: 4.991 4.991 4.991
angles: 60.00 60.00 60.00
Positions (direct):
1 Hg 0.500 0.500 0.500
2 Ho 0.250 0.250 0.250
3 Ag 0.000 0.000 0.000
4 Cd 0.750 0.750 0.750

=====

Entry 4:
## RbBa2Ir (PBE)

Data for an optimized crystal structure of RbBa2Ir.

Output
- ρ: 3.48 g cm⁻³
- E above lowest polymorph: 0.237 eV per atom
- Space-group type: I-42d
- Size of the total moment: 0.00 μB/f.u.

abc: 9.238 9.238 8.991
angles: 59.08 59.08 90.00
Positions (direct):
1 Ba 0.950 0.625 0.250
2 Ir 0.000 0.000 0.000
3 Ba 0.800 0.125 0.250
4 Ir 0.750 0.250 0.500
5 Ba 0.875 0.050 0.750
6 Rb 0.250 0.750 0.500
7 Rb 0.500 0.500 0.000
8 Ba 0.375 0.200 0.750

=====

Entry 5:
## Ca3AgAu4 (PBE)

Data for an optimized crystal structure of Ca3AgAu4.

Output
- ρ: 9.37 g cm⁻³
- E above lowest polymorph: 0.000 eV per atom
- Space-group type: Pmma
- Size of the total moment: 0.00 μB/f.u.

abc: 5.003 7.199 10.001
angles: 90.00 90.00 90.00
Positions (direct):
1 Au 0.500 0.255 0.000
2 Au 0.001 0.745 0.750
3 Au 0.999 0.255 0.250
4 Au 0.500 0.745 0.500
5 Ag 0.000 0.500 0.500
6 Au 0.500 0.745 0.000
7 Ag 0.000 0.500 0.000
8 Au 0.500 0.255 0.500
9 Ca 0.000 0.000 0.000
10 Ca 0.499 0.000 0.250
11 Ca 0.000 0.000 0.500
12 Au 0.001 0.255 0.750
13 Au 0.999 0.745 0.250
14 Ca 0.499 0.500 0.250
15 Ca 0.501 0.000 0.750
16 Ca 0.501 0.500 0.750

=====

Entry 6:
## LiGa2BiH (PBE)

Data for an optimized crystal structure of LiGa2BiH.

Output
- ρ: 6.53 g cm⁻³
- Space-group type: P4/mmm
- Final energy: -3.047 eV/atom
- Size of the total moment: 0.00 μB/f.u.

abc: 4.519 4.519 4.435
angles: 90.00 90.00 90.00
Positions (direct):
1 Ga 0.500 0.000 0.000
2 Ga 0.000 0.500 0.000
3 Li 0.000 0.000 0.500
4 H 0.000 0.000 0.000
5 Bi 0.500 0.500 0.500

=====

Entry 7:
## Dy2Nb2O7 (PBE)

Data for an optimized crystal structure of Dy2Nb2O7.

Output
- ρ: 7.41 g cm⁻³
- Energy relative to the elements, uncorrected: -2.952 eV per atom
- Space-group type: Fd-3m
- Size of the total moment: 0.56 μB/f.u.

abc: 7.336 7.336 7.336
angles: 60.00 60.00 60.00
Last column: magnetic moment on the atom in μB.
Positions (direct):
1 O 0.780 0.220 0.220  0.00
2 O 0.030 0.470 0.470  0.00
3 O 0.750 0.750 0.750  0.00
4 Nb 0.125 0.125 0.625  0.25
5 O 0.220 0.220 0.780  0.00
6 Nb 0.625 0.125 0.125  0.25
7 O 0.780 0.780 0.220  0.00
8 O 0.220 0.780 0.780  0.00
9 Dy 0.625 0.625 0.625  0.00
10 O 0.030 0.470 0.030  0.00
11 Dy 0.125 0.625 0.625  0.00
12 Nb 0.125 0.625 0.125  0.25
13 O 0.030 0.030 0.470  0.00
14 Dy 0.625 0.625 0.125  0.00
15 O 0.780 0.220 0.780  0.00
16 O 0.220 0.780 0.220  0.00
17 Nb 0.125 0.125 0.125  0.25
18 O 0.470 0.030 0.470  0.00
19 O 0.470 0.470 0.030  0.00
20 O 0.500 0.500 0.500  0.00
21 Dy 0.625 0.125 0.625  0.00
22 O 0.470 0.030 0.030  0.00

=====

Entry 8:
## CdAg4Os (PBE)

Data for an optimized crystal structure of CdAg4Os.

Output
- ρ: 11.13 g cm⁻³
- Space-group type: F-43m
- Final energy: -3.227 eV/atom
- Size of the total moment: 0.00 μB/f.u.

abc: 5.370 5.370 5.370
angles: 60.00 60.00 60.00
Positions (direct):
1 Cd 0.750 0.750 0.750
2 Os 0.000 0.000 0.000
3 Ag 0.876 0.375 0.375
4 Ag 0.375 0.375 0.375
5 Ag 0.375 0.876 0.375
6 Ag 0.375 0.375 0.876

=====

Look up the size of the total moment of the fifth one. 0.00 μB/f.u.

=====

What did the seventh record say?
## Dy2Nb2O7 (PBE)

Data for an optimized crystal structure of Dy2Nb2O7.

Output
- ρ: 7.41 g cm⁻³
- Energy relative to the elements, uncorrected: -2.952 eV per atom
- Space-group type: Fd-3m
- Size of the total moment: 0.56 μB/f.u.

abc: 7.336 7.336 7.336
angles: 60.00 60.00 60.00
Last column: magnetic moment on the atom in μB.
Positions (direct):
1 O 0.780 0.220 0.220  0.00
2 O 0.030 0.470 0.470  0.00
3 O 0.750 0.750 0.750  0.00
4 Nb 0.125 0.125 0.625  0.25
5 O 0.220 0.220 0.780  0.00
6 Nb 0.625 0.125 0.125  0.25
7 O 0.780 0.780 0.220  0.00
8 O 0.220 0.780 0.780  0.00
9 Dy 0.625 0.625 0.625  0.00
10 O 0.030 0.470 0.030  0.00
11 Dy 0.125 0.625 0.625  0.00
12 Nb 0.125 0.625 0.125  0.25
13 O 0.030 0.030 0.470  0.00
14 Dy 0.625 0.625 0.125  0.00
15 O 0.780 0.220 0.780  0.00
16 O 0.220 0.780 0.220  0.00
17 Nb 0.125 0.125 0.125  0.25
18 O 0.470 0.030 0.470  0.00
19 O 0.470 0.470 0.030  0.00
20 O 0.500 0.500 0.500  0.00
21 Dy 0.625 0.125 0.625  0.00
22 O 0.470 0.030 0.030  0.00

=====

What is the ρ in the sixth record? 6.53 g cm⁻³

=====

ρ of number 5 (Ca3AgAu4)? 9.37 g cm⁻³